Material: ScTl2Os
Method: DFT, GGA-PBE
State: optimized geometry

Cell and atoms, written as extended XYZ:
```
8
Lattice="-3.981 -6.319 -2.915 6.690 -4.400 0.401 0.670 -6.158 1.408" Properties=species:S:1:pos:R:3 pbc="T T T"
Os 0.000 0.000 0.000
Sc 1.354 -5.360 -1.257
Tl -1.620 -6.254 -1.519
Tl 3.100 -14.147 -1.130
Tl 1.291 -8.489 0.100
Tl 3.986 -4.865 0.337
Sc 4.357 -7.959 0.276
Os -0.979 -8.918 -1.382
```

As for the energy of formation from the pure elements: 0.600 eV per atom. The electronic total energy comes out at -39.79 eV for the cell shown. The distance to the lowest polymorph of the same formula comes out at 1.810 eV per formula unit.

Material: CaTe2C
Method: DFT, GGA-PBE
State: optimized geometry

Cell and atoms, written as extended XYZ:
```
8
Lattice="7.016 0.000 0.000 0.000 7.016 0.000 3.508 3.508 4.438" Properties=species:S:1:pos:R:3 pbc="T T T"
C 3.508 7.016 2.219
Te 2.418 5.262 1.109
Ca 7.016 3.508 2.219
C 3.508 3.508 0.000
Te 4.598 1.754 1.109
Te 5.262 5.927 3.328
Te 8.770 8.106 3.328
Ca 0.000 0.000 0.000
```

The electronic total energy comes out at -32.14 eV for the cell shown.

Material: Pr2Zn3Pd12Au
Method: DFT, GGA-PBE
State: optimized geometry

Cell and atoms, written as extended XYZ:
```
18
Lattice="7.809 -0.260 -0.184 3.630 6.918 -0.184 3.630 2.113 6.590" Properties=species:S:1:pos:R:3 pbc="T T T"
Pd 7.606 1.964 4.003
Pd 5.808 1.161 0.824
Pr 9.214 5.363 3.804
Pd 11.191 6.514 2.269
Zn 1.815 3.459 -0.092
Pd 7.606 4.427 0.530
Zn 3.904 -0.130 -0.092
Pd 3.878 2.257 3.953
Pd 3.878 4.477 0.824
Pd 9.605 3.127 2.218
Pd 7.463 4.344 5.691
Pd 7.463 6.807 2.218
Pr 5.855 3.408 2.417
Pd 11.191 4.295 5.398
Pd 9.261 7.610 5.398
Pd 5.464 5.644 4.003
Zn 1.815 1.057 3.295
Au 0.000 0.000 0.000
```

As for the energy of formation from the pure elements: -0.116 eV per atom. The electronic total energy comes out at -81.05 eV for the cell shown.

Material: BaVTe2
Method: DFT, GGA-PBE
State: optimized geometry

Cell and atoms, written as extended XYZ:
```
4
Lattice="2.374 0.000 9.819 -1.187 2.056 9.819 -1.187 -2.056 9.819" Properties=species:S:1:pos:R:3 pbc="T T T"
Ba 0.000 0.000 0.000
Te 0.000 0.000 26.048
V 0.000 0.000 14.729
Te 0.000 0.000 3.410
```

The electronic total energy comes out at -18.70 eV for the cell shown. The distance to the lowest polymorph of the same formula comes out at 1.706 eV per formula unit.

Material: AlVSb2Se
Method: DFT, GGA-PBE
State: optimized geometry

Cell and atoms, written as extended XYZ:
```
5
Lattice="-3.817 3.869 -1.165 -3.065 -3.252 -0.756 -1.482 0.151 5.355" Properties=species:S:1:pos:R:3 pbc="T T T"
Al -4.182 0.384 1.717
Sb -1.908 1.934 -0.583
Sb -0.741 0.076 2.677
V -1.533 -1.626 -0.378
Se 0.000 0.000 0.000
```

The electronic total energy comes out at -20.42 eV for the cell shown.

Material: Be2Se
Method: DFT, GGA-PBE
State: optimized geometry

Cell and atoms, written as extended XYZ:
```
3
Lattice="-2.551 2.198 0.106 -0.409 -2.984 -1.510 -1.294 -1.678 3.665" Properties=species:S:1:pos:R:3 pbc="T T T"
Be -2.009 -2.406 1.539
Se 0.000 0.000 0.000
Be -2.244 -0.058 0.722
```

The electronic total energy comes out at -10.09 eV for the cell shown. The distance to the lowest polymorph of the same formula comes out at 1.716 eV per formula unit.

Material: K2SmAlTe4
Method: DFT, GGA-PBE
State: optimized geometry

Cell and atoms, written as extended XYZ:
```
16
Lattice="-1.321 3.286 -8.494 -6.067 -6.742 -1.559 -0.833 5.611 7.543" Properties=species:S:1:pos:R:3 pbc="T T T"
K -3.694 -1.728 -5.027
Te -3.158 3.400 -2.877
Te -5.064 -1.245 0.366
Te -2.534 1.032 -6.951
Sm -3.867 2.240 6.763
Te -5.960 0.562 -3.455
Te -6.300 2.823 -0.417
Te -1.922 -0.669 -2.093
Te -2.262 1.593 0.944
K -1.077 4.448 -0.476
K -0.661 1.643 -4.247
Te -5.687 1.123 4.441
K -1.738 6.091 -4.723
Sm -3.450 -0.566 2.992
Al -1.321 3.286 -8.494
Al -4.111 1.077 -1.255
```

The electronic total energy comes out at -61.53 eV for the cell shown.